DFT (GGA-PBE) results for KTa2Rh2 after structural relaxation.

Cell lengths 6.076, 6.076, 6.076 Å; angles 135.01, 135.01, 65.51 degrees
Fractional coordinates of all 5 atoms:
K1 0.000 0.000 0.000
Ta1 0.358 0.358 0.000
Ta2 0.642 0.642 0.000
Rh1 0.250 0.750 0.500
Rh2 0.750 0.250 0.500

Calculated values
Energy relative to the elements ... 0.437 eV per atom
Size of the total moment ... 0.0 μB/f.u.
Polymorph energy (0 for the lowest one) ... 338 meV/atom



DFT (GGA-PBE) results for ErU2TcC4 after structural relaxation.

Cell lengths 6.089, 6.089, 11.310 Å; angles 90.00, 90.00, 146.41 degrees
Fractional coordinates of all 16 atoms:
Er1 0.119 0.881 0.750
Er2 0.881 0.119 0.250
U1 0.370 0.630 0.548
U2 0.370 0.630 0.952
U3 0.630 0.370 0.048
U4 0.630 0.370 0.452
Tc1 0.143 0.857 0.250
Tc2 0.857 0.143 0.750
C1 0.000 0.000 0.000
C2 0.000 0.000 0.500
C3 0.265 0.735 0.120
C4 0.265 0.735 0.380
C5 0.457 0.543 0.750
C6 0.543 0.457 0.250
C7 0.735 0.265 0.620
C8 0.735 0.265 0.880

Calculated values
Energy relative to the elements ... -0.047 eV per atom
Size of the total moment ... 0.0 μB/f.u.



DFT (GGA-PBE) results for CsSeBr6 after structural relaxation.

Cell lengths 7.825, 7.825, 7.825 Å; angles 56.44, 56.44, 56.44 degrees
Fractional coordinates of all 8 atoms:
Cs1 0.000 0.000 0.000
Se1 0.500 0.500 0.500
Br1 0.094 0.589 0.589
Br2 0.411 0.411 0.906
Br3 0.411 0.906 0.411
Br4 0.589 0.094 0.589
Br5 0.589 0.589 0.094
Br6 0.906 0.411 0.411

Calculated values
Energy relative to the elements, uncorrected ... -455 meV/atom
Size of the total moment ... 0.0 μB/f.u.